The following is a PBE calculation of Pm4BiTe2S after structural relaxation, from Alexandria.

Calculated values
D(E_F): 0.4870 states/eV per atom
Raw formation energy: -1.422 eV/atom
Magnetic moment: 0.00 μB/cell
Theoretical density: 7.4 g cm⁻³
V: 30.15 A^3/atom

a = 4.346 Å, b = 7.643 Å, c = 7.677 Å
α = 108.96°, β = 90.00°, γ = 90.00°
Atoms (fractional coordinates):
Bi  0.000  0.000  0.000
Pm  0.000  0.282  0.781
Pm  0.000  0.718  0.219
Pm  0.500  0.270  0.232
Pm  0.500  0.730  0.768
Te  0.500  0.000  0.500
Te  0.000  0.500  0.500
S  0.500  0.500  0.000